Computed, not measured: a relaxed CdBr crystal at the PBE-GGA level of DFT.

Cell and atoms, written as CIF:
```
data_CdBr
_chemical_formula_sum 'Cd2 Br2'
_space_group_name_H-M_alt 'P 63 m c'
_space_group_IT_number 186
_space_group_name_Hall 'P 6c -2c'
_cell_length_a 4.1663
_cell_length_b 4.1663
_cell_length_c 9.2831
_cell_angle_alpha 90.00
_cell_angle_beta 90.00
_cell_angle_gamma 120.00
loop_
_atom_site_label
_atom_site_fract_x
_atom_site_fract_y
_atom_site_fract_z
Cd1 0.3333 0.6667 0.0000
Br1 0.3333 0.6667 0.6865
```

Properties
Formation energy without anion corrections = -251 meV per atom

Computed, not measured: a relaxed LaGa2Hg crystal at the PBE-GGA level of DFT.

Cell and atoms, written as CIF:
```
data_LaGa2Hg
_chemical_formula_sum 'La3 Ga6 Hg3'
_space_group_name_H-M_alt 'R -3 m'
_space_group_IT_number 166
_space_group_name_Hall '-R 3 2"'
_cell_length_a 4.5333
_cell_length_b 4.5333
_cell_length_c 16.0850
_cell_angle_alpha 90.00
_cell_angle_beta 90.00
_cell_angle_gamma 120.00
loop_
_atom_site_label
_atom_site_fract_x
_atom_site_fract_y
_atom_site_fract_z
La1 0.0000 0.0000 0.0000
Ga1 0.0000 0.0000 0.2244
Hg1 0.0000 0.0000 0.5000
```

Properties
Formation energy from the elements = -1.7 eV/f.u.

Computed, not measured: a relaxed WAu crystal at the PBE-GGA level of DFT.

Cell and atoms, written as CIF:
```
data_WAu
_chemical_formula_sum 'W8 Au8'
_space_group_name_H-M_alt 'I 4/m m m'
_space_group_IT_number 139
_space_group_name_Hall '-I 4 2'
_cell_length_a 8.5549
_cell_length_b 8.5549
_cell_length_c 3.9729
_cell_angle_alpha 90.00
_cell_angle_beta 90.00
_cell_angle_gamma 90.00
loop_
_atom_site_label
_atom_site_fract_x
_atom_site_fract_y
_atom_site_fract_z
W1 0.1714 0.1714 0.0000
Au1 0.0000 0.3164 0.5000
```

Properties
Relative energy among the computed polymorphs = 0.327 eV/atom
Formation energy from the elements = 1.2 eV/f.u.

Computed, not measured: a relaxed AcCo3Si2 crystal at the PBE-GGA level of DFT.

Cell and atoms, written as CIF:
```
data_AcCo3Si2
_chemical_formula_sum 'Ac1 Co3 Si2'
_space_group_name_H-M_alt 'P 6/m m m'
_space_group_IT_number 191
_space_group_name_Hall '-P 6 2'
_cell_length_a 5.4722
_cell_length_b 5.4722
_cell_length_c 3.4975
_cell_angle_alpha 90.00
_cell_angle_beta 90.00
_cell_angle_gamma 120.00
loop_
_atom_site_label
_atom_site_fract_x
_atom_site_fract_y
_atom_site_fract_z
Ac1 0.0000 0.0000 0.0000
Co1 0.0000 0.5000 0.5000
Si1 0.3333 0.6667 0.0000
```

Properties
Formation energy without anion corrections = -509 meV per atom

Computed, not measured: a relaxed K4Sm3ZrO8 crystal at the PBE-GGA level of DFT.

Cell and atoms, written as CIF:
```
data_K4Sm3ZrO8
_chemical_formula_sum 'K12 Sm9 Zr3 O24'
_space_group_name_H-M_alt 'R -3 m'
_space_group_IT_number 166
_space_group_name_Hall '-R 3 2"'
_cell_length_a 7.0245
_cell_length_b 7.0245
_cell_length_c 18.8434
_cell_angle_alpha 90.00
_cell_angle_beta 90.00
_cell_angle_gamma 120.00
loop_
_atom_site_label
_atom_site_fract_x
_atom_site_fract_y
_atom_site_fract_z
K1 0.0000 0.0000 0.0000
K2 0.0000 0.5000 0.0000
Sm1 0.0000 0.5000 0.5000
Zr1 0.0000 0.0000 0.5000
O1 0.0000 0.0000 0.2315
O2 0.0234 0.5117 0.2286
```

Properties
Formation energy without anion corrections = -2568 meV per atom

Computed, not measured: a relaxed Eu3Dy crystal at the PBE-GGA level of DFT.

Cell and atoms, written as CIF:
```
data_Eu3Dy
_chemical_formula_sum 'Eu3 Dy1'
_space_group_name_H-M_alt 'P m m m'
_space_group_IT_number 47
_cell_length_a 4.1401
_cell_length_b 6.0203
_cell_length_c 6.1004
_cell_angle_alpha 90.00
_cell_angle_beta 90.00
_cell_angle_gamma 90.00
loop_
_space_group_symop_operation_xyz
'x,y,z'
'-x,-y,-z'
'-x,-y,z'
'x,y,-z'
'x,-y,-z'
'-x,y,z'
'-x,y,-z'
'x,-y,z'
loop_
_atom_site_label
_atom_site_fract_x
_atom_site_fract_y
_atom_site_fract_z
Eu1 0.0000 0.0000 0.0000
Eu2 0.0000 0.5000 0.5000
Eu3 0.5000 0.0000 0.5000
Dy1 0.5000 0.5000 0.0000
```

Properties
Relative energy among the computed polymorphs = 0.007 eV/atom
Formation energy from the elements = 0.4 eV/f.u.

Number 1: size of the total moment 0.00 μB per cell, volume 34.9 Å³ per atom. Number 2: size of the total moment 0.00 μB per cell, volume 23.9 Å³ per atom. Number 3: size of the total moment 0.00 μB per cell, volume 18.2 Å³ per atom. Number 4: size of the total moment 0.00 μB per cell, volume 15.1 Å³ per atom. Number 5: size of the total moment 0.00 μB per cell, volume 16.8 Å³ per atom. Number 6: size of the total moment 7.19 μB per cell, volume 38.0 Å³ per atom.